The following is a DFT calculation (GGA-PBE) of Lu2HfPb after structural relaxation.

a b c (Å): 4.610 4.677 4.677
angles (deg): 90.00 90.00 90.00
Fractional coordinates of all 4 atoms:
Pb (0.500, 0.500, 0.500)
Lu (0.000, 0.000, 0.500)
Lu (0.000, 0.500, 0.000)
Hf (0.500, 0.000, 0.000)

## Properties
mass density = 12.1 Mg/m³
space-group type = No. 123
density of states at the Fermi level = 1.40 states/eV/atom
energy relative to the lowest polymorph listed for this composition = 0.263 eV/f.u.
formation energy from the elements = -0.077 eV/atom